(1)
RbMgSc2C | Alexandria | PBE | optimized geometry; density of states at the Fermi level = 0.9037 states/eV per atom; ΔH_f (0 K) = 1.472 eV/atom; E = -3.418 eV/atom; calculated volume = 27.4 Å³ per atom; space group = P4/mmm (123)
1.0
5.7140 0.0000 0.0000
0.0000 5.7140 0.0000
0.0000 0.0000 4.1937
Rb Mg Sc C
1 1 2 1
direct
0.0000 0.0000 0.0000 Rb
0.5000 0.5000 0.5000 Mg
0.0000 0.5000 0.5000 Sc
0.5000 0.0000 0.5000 Sc
0.5000 0.5000 0.0000 C



(2)
AcBi3 | Alexandria | PBE | optimized geometry; density of states at the Fermi level = 0.6283 states/eV per atom; ΔH_f (0 K) = -0.489 eV/atom; E = -4.427 eV/atom; calculated volume = 33.8 Å³ per atom; space group = I4/mmm (139); relative energy among the computed polymorphs = 38 meV per atom
1.0
4.8459 0.0000 0.0000
0.0000 4.8459 0.0000
0.0000 0.0000 11.5024
Ac Bi
2 6
direct
0.0000 0.0000 0.0000 Ac
0.5000 0.5000 0.5000 Ac
0.0000 0.0000 0.5000 Bi
0.0000 0.5000 0.2500 Bi
0.0000 0.5000 0.7500 Bi
0.5000 0.0000 0.2500 Bi
0.5000 0.0000 0.7500 Bi
0.5000 0.5000 0.0000 Bi



(3)
SbTeO6 | Alexandria | PBE | optimized geometry; density of states at the Fermi level = 0.7708 states/eV per atom; E = -5.421 eV/atom; calculated volume = 13.2 Å³ per atom; space group = C2/m (12); energy relative to the elements, uncorrected = -0.795 eV/atom
1.0
9.0356 0.0000 0.0000
0.0000 5.4727 0.0000
-3.0276 0.0000 4.2809
Sb Te O
2 2 12
direct
0.0000 0.0000 0.0000 Sb
0.5000 0.5000 0.0000 Sb
0.0000 0.5000 0.5000 Te
0.5000 0.0000 0.5000 Te
0.0684 0.2535 0.8133 O
0.0684 0.7465 0.8133 O
0.2459 0.5000 0.6137 O
0.2541 0.0000 0.3863 O
0.4316 0.2465 0.1867 O
0.4316 0.7535 0.1867 O
0.5684 0.2465 0.8133 O
0.5684 0.7535 0.8133 O
0.7459 0.0000 0.6137 O
0.7541 0.5000 0.3863 O
0.9316 0.2535 0.1867 O
0.9316 0.7465 0.1867 O



(4)
Hf4In4Co | Alexandria | PBE | optimized geometry; density of states at the Fermi level = 0.7571 states/eV per atom; ΔH_f (0 K) = -0.031 eV/atom; E = -6.461 eV/atom; calculated volume = 21.7 Å³ per atom; space group = C2/m (12)
1.0
5.1190 -2.3618 0.0000
5.1190 2.3618 0.0000
-3.8066 0.0000 8.0615
Hf In Co
4 4 1
direct
0.0000 0.0000 0.0000 Hf
0.0000 0.0000 0.5000 Hf
0.4988 0.4988 0.7690 Hf
0.5012 0.5012 0.2310 Hf
0.2300 0.2300 0.3586 In
0.2460 0.2460 0.8762 In
0.7540 0.7540 0.1238 In
0.7700 0.7700 0.6414 In
0.5000 0.5000 0.5000 Co



(5)
LaHf2TiRh | Alexandria | PBE | optimized geometry; density of states at the Fermi level = 1.0178 states/eV per atom; ΔH_f (0 K) = 0.895 eV/atom; E = -7.121 eV/atom; calculated volume = 25.2 Å³ per atom; space group = P4/mmm (123)
1.0
4.8557 0.0000 0.0000
0.0000 4.8557 0.0000
0.0000 0.0000 5.3360
La Hf Ti Rh
1 2 1 1
direct
0.0000 0.0000 0.0000 La
0.0000 0.5000 0.5000 Hf
0.5000 0.0000 0.5000 Hf
0.0000 0.0000 0.5000 Ti
0.5000 0.5000 0.0000 Rh



(6)
MgHAu | Alexandria | PBE | optimized geometry; density of states at the Fermi level = 0.2232 states/eV per atom; E = -2.915 eV/atom; calculated volume = 15.2 Å³ per atom; space group = P2_1/c (14)
1.0
5.1099 0.0000 0.0000
0.0000 10.1045 0.0000
-2.8029 0.0000 7.0643
Mg H Au
8 8 8
direct
0.0211 0.1362 0.1043 Mg
0.0211 0.3638 0.6043 Mg
0.2935 0.0668 0.5807 Mg
0.2935 0.4332 0.0807 Mg
0.7065 0.5668 0.9193 Mg
0.7065 0.9332 0.4193 Mg
0.9789 0.6362 0.3957 Mg
0.9789 0.8638 0.8957 Mg
0.3630 0.5159 0.3675 H
0.3630 0.9841 0.8675 H
0.4335 0.5833 0.3572 H
0.4335 0.9167 0.8572 H
0.5665 0.0833 0.1428 H
0.5665 0.4167 0.6428 H
0.6370 0.0159 0.1325 H
0.6370 0.4841 0.6325 H
0.1289 0.6186 0.7827 Au
0.1289 0.8814 0.2827 Au
0.4872 0.2419 0.3723 Au
0.4872 0.2581 0.8723 Au
0.5128 0.7419 0.1277 Au
0.5128 0.7581 0.6277 Au
0.8711 0.1186 0.7173 Au
0.8711 0.3814 0.2173 Au



(7)
Tm2Th2Sc15 | Alexandria | PBE | optimized geometry; density of states at the Fermi level = 2.2822 states/eV per atom; ΔH_f (0 K) = 0.264 eV/atom; E = -5.986 eV/atom; calculated volume = 27.1 Å³ per atom; space group = R-3m (166)
1.0
5.2896 3.0539 5.3107
-5.2896 3.0539 5.3107
0.0000 -6.1079 5.3107
Tm Th Sc
2 2 15
direct
0.1082 0.1082 0.1082 Tm
0.8918 0.8918 0.8918 Tm
0.3458 0.3458 0.3458 Th
0.6542 0.6542 0.6542 Th
0.0000 0.0000 0.5000 Sc
0.0000 0.3078 0.6922 Sc
0.0000 0.5000 0.0000 Sc
0.0000 0.6922 0.3078 Sc
0.1619 0.6397 0.6397 Sc
0.3078 0.0000 0.6922 Sc
0.3078 0.6922 0.0000 Sc
0.3603 0.3603 0.8381 Sc
0.3603 0.8381 0.3603 Sc
0.5000 0.0000 0.0000 Sc
0.6397 0.1619 0.6397 Sc
0.6397 0.6397 0.1619 Sc
0.6922 0.0000 0.3078 Sc
0.6922 0.3078 0.0000 Sc
0.8381 0.3603 0.3603 Sc



(8)
TaZnTcAu2 | Alexandria | PBE | optimized geometry; density of states at the Fermi level = 1.1351 states/eV per atom; ΔH_f (0 K) = 1.574 eV/atom; E = -4.436 eV/atom; calculated volume = 25.3 Å³ per atom; space group = P4/mmm (123)
1.0
5.0356 0.0000 0.0000
0.0000 5.0356 0.0000
0.0000 0.0000 4.9840
Ta Zn Tc Au
1 1 1 2
direct
0.0000 0.0000 0.0000 Ta
0.0000 0.0000 0.5000 Zn
0.5000 0.5000 0.5000 Tc
0.0000 0.5000 0.0000 Au
0.5000 0.0000 0.0000 Au



(9)
PaCd2Pd | Alexandria | PBE | optimized geometry; density of states at the Fermi level = 1.2452 states/eV per atom; ΔH_f (0 K) = -0.108 eV/atom; E = -4.238 eV/atom; calculated volume = 20.7 Å³ per atom; space group = P4/mmm (123)
1.0
3.0470 0.0000 0.0000
0.0000 3.0470 0.0000
0.0000 0.0000 8.9194
Pa Cd Pd
1 2 1
direct
0.0000 0.0000 0.0000 Pa
0.5000 0.5000 0.2901 Cd
0.5000 0.5000 0.7099 Cd
0.0000 0.0000 0.5000 Pd



(10)
Ho4RuAu3 | Alexandria | PBE | optimized geometry; density of states at the Fermi level = 0.6965 states/eV per atom; ΔH_f (0 K) = -0.765 eV/atom; E = -5.442 eV/atom; calculated volume = 22.1 Å³ per atom; space group = P4/mmm (123)
1.0
3.5032 0.0000 0.0000
0.0000 3.5032 0.0000
0.0000 0.0000 14.4000
Ho Ru Au
4 1 3
direct
0.0000 0.0000 0.1144 Ho
0.0000 0.0000 0.3712 Ho
0.0000 0.0000 0.6288 Ho
0.0000 0.0000 0.8856 Ho
0.5000 0.5000 0.0000 Ru
0.5000 0.5000 0.2458 Au
0.5000 0.5000 0.5000 Au
0.5000 0.5000 0.7542 Au



(11)
Ho3GeP2Rh9 | Alexandria | PBE | optimized geometry; density of states at the Fermi level = 0.2468 states/eV per atom; ΔH_f (0 K) = -0.681 eV/atom; E = -7.037 eV/atom; calculated volume = 18.6 Å³ per atom; space group = P-3m1 (164)
1.0
6.0853 0.0000 0.0000
-3.0427 5.2700 0.0000
0.0000 0.0000 8.6792
Ho Ge P Rh
3 1 2 9
direct
0.0000 0.0000 0.0000 Ho
0.3333 0.6667 0.7045 Ho
0.6667 0.3333 0.2955 Ho
0.0000 0.0000 0.5000 Ge
0.3333 0.6667 0.1682 P
0.6667 0.3333 0.8318 P
0.0000 0.5000 0.0000 Rh
0.1499 0.2998 0.2820 Rh
0.1499 0.8501 0.2820 Rh
0.2998 0.1499 0.7180 Rh
0.5000 0.0000 0.0000 Rh
0.5000 0.5000 0.0000 Rh
0.7002 0.8501 0.2820 Rh
0.8501 0.1499 0.7180 Rh
0.8501 0.7002 0.7180 Rh



(12)
Rb3ZrCl6 | Alexandria | PBE | optimized geometry; density of states at the Fermi level = 0.5407 states/eV per atom; E = -4.113 eV/atom; calculated volume = 34.5 Å³ per atom; space group = P2_1/c (14); energy relative to the elements, uncorrected = -1.860 eV/atom
1.0
7.7111 0.0000 0.0000
0.0000 8.0983 0.0000
-7.4141 0.0000 11.0642
Rb Zr Cl
6 2 12
direct
0.0000 0.0000 0.0000 Rb
0.0000 0.5000 0.5000 Rb
0.2838 0.0734 0.7559 Rb
0.2838 0.4266 0.2559 Rb
0.7162 0.5734 0.7441 Rb
0.7162 0.9266 0.2441 Rb
0.5000 0.0000 0.5000 Zr
0.5000 0.5000 0.0000 Zr
0.1727 0.0339 0.2847 Cl
0.1727 0.4661 0.7847 Cl
0.2842 0.6738 0.0548 Cl
0.2842 0.8262 0.5548 Cl
0.3980 0.2323 0.0628 Cl
0.3980 0.2677 0.5628 Cl
0.6020 0.7323 0.4372 Cl
0.6020 0.7677 0.9372 Cl
0.7158 0.1738 0.4452 Cl
0.7158 0.3262 0.9452 Cl
0.8273 0.5339 0.2153 Cl
0.8273 0.9661 0.7153 Cl



(13)
La2PrIn6 | Alexandria | PBE | optimized geometry; density of states at the Fermi level = 0.4954 states/eV per atom; ΔH_f (0 K) = -0.493 eV/atom; E = -3.945 eV/atom; calculated volume = 28.0 Å³ per atom; space group = P6/mmm (191)
1.0
8.7457 0.0000 0.0000
-4.3728 7.5740 0.0000
0.0000 0.0000 3.8085
La Pr In
2 1 6
direct
0.3333 0.6667 0.0000 La
0.6667 0.3333 0.0000 La
0.0000 0.0000 0.0000 Pr
0.0000 0.3325 0.5000 In
0.0000 0.6675 0.5000 In
0.3325 0.0000 0.5000 In
0.3325 0.3325 0.5000 In
0.6675 0.0000 0.5000 In
0.6675 0.6675 0.5000 In



(14)
CrTcSn2 | Alexandria | PBE | optimized geometry; density of states at the Fermi level = 0.3227 states/eV per atom; ΔH_f (0 K) = 0.213 eV/atom; E = -6.786 eV/atom; calculated volume = 17.7 Å³ per atom; space group = Fm-3m (225); relative energy among the computed polymorphs = 0 meV per atom
1.0
6.5660 0.0000 0.0000
0.0000 6.5660 0.0000
0.0000 0.0000 6.5660
Cr Tc Sn
4 4 8
direct
0.0000 0.0000 0.0000 Cr
0.0000 0.5000 0.5000 Cr
0.5000 0.0000 0.5000 Cr
0.5000 0.5000 0.0000 Cr
0.0000 0.0000 0.5000 Tc
0.0000 0.5000 0.0000 Tc
0.5000 0.0000 0.0000 Tc
0.5000 0.5000 0.5000 Tc
0.2500 0.2500 0.2500 Sn
0.2500 0.2500 0.7500 Sn
0.2500 0.7500 0.2500 Sn
0.2500 0.7500 0.7500 Sn
0.7500 0.2500 0.2500 Sn
0.7500 0.2500 0.7500 Sn
0.7500 0.7500 0.2500 Sn
0.7500 0.7500 0.7500 Sn



(15)
InFe2B | Alexandria | PBE | optimized geometry; density of states at the Fermi level = 1.2092 states/eV per atom; ΔH_f (0 K) = 0.771 eV/atom; E = -5.814 eV/atom; calculated volume = 11.8 Å³ per atom; space group = Fm-3m (225)
1.0
5.7320 0.0000 0.0000
0.0000 5.7320 0.0000
0.0000 0.0000 5.7320
In Fe B
4 8 4
direct
0.0000 0.0000 0.0000 In
0.0000 0.5000 0.5000 In
0.5000 0.0000 0.5000 In
0.5000 0.5000 0.0000 In
0.2500 0.2500 0.2500 Fe
0.2500 0.2500 0.7500 Fe
0.2500 0.7500 0.2500 Fe
0.2500 0.7500 0.7500 Fe
0.7500 0.2500 0.2500 Fe
0.7500 0.2500 0.7500 Fe
0.7500 0.7500 0.2500 Fe
0.7500 0.7500 0.7500 Fe
0.0000 0.0000 0.5000 B
0.0000 0.5000 0.0000 B
0.5000 0.0000 0.0000 B
0.5000 0.5000 0.5000 B



(16)
AcPr2Cu6 | Alexandria | PBE | optimized geometry; density of states at the Fermi level = 0.5481 states/eV per atom; ΔH_f (0 K) = -0.198 eV/atom; E = -4.447 eV/atom; calculated volume = 21.1 Å³ per atom; space group = C2/m (12)
1.0
6.5009 -3.7561 0.0000
6.5009 3.7561 0.0000
-0.0061 0.0000 3.8928
Ac Pr Cu
1 2 6
direct
0.0000 0.0000 0.0000 Ac
0.3333 0.3333 0.0000 Pr
0.6667 0.6667 0.0000 Pr
0.0000 0.3359 0.5001 Cu
0.0000 0.6641 0.4999 Cu
0.3359 0.0000 0.5001 Cu
0.3359 0.6641 0.5000 Cu
0.6641 0.0000 0.4999 Cu
0.6641 0.3359 0.5000 Cu



(17)
Ba3CaSn3 | Alexandria | PBE | optimized geometry; density of states at the Fermi level = 0.2570 states/eV per atom; ΔH_f (0 K) = -0.643 eV/atom; E = -3.468 eV/atom; calculated volume = 39.8 Å³ per atom; space group = Cmcm (63)
1.0
2.6236 -6.3097 0.0000
2.6236 6.3097 0.0000
0.0000 0.0000 16.8270
Ba Ca Sn
6 2 6
direct
0.0228 0.9772 0.7500 Ba
0.2944 0.7056 0.6092 Ba
0.2944 0.7056 0.8908 Ba
0.7056 0.2944 0.1092 Ba
0.7056 0.2944 0.3908 Ba
0.9772 0.0228 0.2500 Ba
0.0000 0.0000 0.0000 Ca
0.0000 0.0000 0.5000 Ca
0.2727 0.7273 0.2500 Sn
0.4077 0.5923 0.0991 Sn
0.4077 0.5923 0.4009 Sn
0.5923 0.4077 0.5991 Sn
0.5923 0.4077 0.9009 Sn
0.7273 0.2727 0.7500 Sn



(18)
Tb2TlBr8 | Alexandria | PBE | optimized geometry; density of states at the Fermi level = 0.3904 states/eV per atom; E = -3.715 eV/atom; calculated volume = 35.6 Å³ per atom; space group = C2/m (12); energy relative to the elements, uncorrected = -1.442 eV/atom
1.0
5.7968 -4.5741 0.0000
5.7968 4.5741 0.0000
-1.3434 0.0000 7.3892
Tb Tl Br
2 1 8
direct
0.1831 0.1831 0.4552 Tb
0.8169 0.8169 0.5448 Tb
0.5000 0.5000 0.0000 Tl
0.0547 0.0547 0.7422 Br
0.1726 0.5511 0.6578 Br
0.2820 0.2820 0.1397 Br
0.4489 0.8274 0.3422 Br
0.5511 0.1726 0.6578 Br
0.7180 0.7180 0.8603 Br
0.8274 0.4489 0.3422 Br
0.9453 0.9453 0.2578 Br



(19)
LiSm2Cu | Alexandria | PBE | optimized geometry; density of states at the Fermi level = 0.9450 states/eV per atom; ΔH_f (0 K) = 0.218 eV/atom; E = -3.644 eV/atom; calculated volume = 28.3 Å³ per atom; space group = R-3m (166)
1.0
3.4660 0.0000 0.0000
-1.7330 3.0016 0.0000
0.0000 0.0000 32.6945
Li Sm Cu
3 6 3
direct
0.0000 0.0000 0.0000 Li
0.3333 0.6667 0.6667 Li
0.6667 0.3333 0.3333 Li
0.0000 0.0000 0.1018 Sm
0.0000 0.0000 0.8982 Sm
0.3333 0.6667 0.5649 Sm
0.3333 0.6667 0.7684 Sm
0.6667 0.3333 0.2316 Sm
0.6667 0.3333 0.4351 Sm
0.0000 0.0000 0.5000 Cu
0.3333 0.6667 0.1667 Cu
0.6667 0.3333 0.8333 Cu



(20)
Li4RuW | Alexandria | PBE | optimized geometry; density of states at the Fermi level = 0.1999 states/eV per atom; ΔH_f (0 K) = 0.427 eV/atom; E = -4.554 eV/atom; calculated volume = 12.3 Å³ per atom; space group = F-43m (216)
1.0
0.0000 3.3297 3.3297
3.3297 0.0000 3.3297
3.3297 3.3297 0.0000
Li Ru W
4 1 1
direct
0.1235 0.1235 0.1235 Li
0.1235 0.1235 0.6296 Li
0.1235 0.6296 0.1235 Li
0.6296 0.1235 0.1235 Li
0.7500 0.7500 0.7500 Ru
0.5000 0.5000 0.5000 W